BeTeOs2 (PBE, relaxed); volume = 15.50 Å³/atom; energy relative to the elements, uncorrected = 90.2 kJ per mole of atoms; density of states at the Fermi level = 1.09 states/eV/atom; offset from the most stable computed form = 476 meV/atom
1.0
4.443 0.000 0.000
2.221 3.848 0.000
2.221 1.283 3.628
Os Te Be
2 1 1
direct
0.250 0.250 0.250
0.000 0.000 0.000
0.750 0.750 0.750
0.500 0.500 0.500